1.
4
Lattice="-0.276 -3.589 -1.671 -1.053 0.221 4.413 -3.872 -0.106 0.866" Properties=species:S:1:pos:R:3 comment="YBe2Tc (meta-GGA SCAN, single point on PBEsol structure)" total_magnetization_mub_per_fu=0.000 n_ef_per_ev_atom=0.29 relative_energy_kj_per_mol_fu=0.0 volume_a3_per_cell=56 pbc="T T T"
Be -3.637 -2.661 1.603
Be -1.563 -0.813 2.006
Y 0.000 0.000 0.000
Tc -2.074 -1.848 -0.402

=====

2.
5
Lattice="5.162 0.000 0.000 0.000 5.162 0.000 0.000 0.000 5.162" Properties=species:S:1:pos:R:3 comment="Cr3GaPb (meta-GGA SCAN, single point on PBEsol structure)" total_magnetization_mub_per_fu=13.789 n_ef_per_ev_atom=0.63 volume_a3_per_cell=138 e_tot_ev_per_atom=-28.29 pbc="T T T"
Ga 2.581 2.581 2.581
Pb 0.000 0.000 0.000
Cr 2.581 0.000 0.000
Cr 0.000 2.581 0.000
Cr 0.000 0.000 2.581

=====

3.
4
Lattice="2.885 0.000 0.000 0.000 2.885 0.000 0.000 0.000 7.133" Properties=species:S:1:pos:R:3 comment="SiHgIr2 (meta-GGA SCAN, single point on PBEsol structure)" total_magnetization_mub_per_fu=0.000 e_form_raw_ev_per_atom=-0.218 n_ef_per_ev_atom=0.35 relative_energy_kj_per_mol_fu=0.0 volume_a3_per_cell=59 pbc="T T T"
Ir 0.000 0.000 2.152
Ir 0.000 0.000 4.980
Si 1.443 1.443 3.566
Hg 1.443 1.443 0.000

=====

4.
5
Lattice="5.064 0.000 0.000 0.000 5.064 0.000 0.000 0.000 5.064" Properties=species:S:1:pos:R:3 comment="TiTe3Ir (meta-GGA SCAN, single point on PBEsol structure)" total_magnetization_mub_per_fu=0.000 e_form_raw_ev_per_atom=1.011 n_ef_per_ev_atom=1.37 volume_a3_per_cell=130 pbc="T T T"
Te 2.532 0.000 0.000
Te 0.000 2.532 0.000
Te 0.000 0.000 2.532
Ti 0.000 0.000 0.000
Ir 2.532 2.532 2.532

=====

5.
6
Lattice="5.095 0.000 0.000 2.547 4.412 0.000 2.547 1.471 4.160" Properties=species:S:1:pos:R:3 comment="AgP5 (meta-GGA SCAN, single point on PBEsol structure)" total_magnetization_mub_per_fu=0.000 n_ef_per_ev_atom=0.64 relative_energy_kj_per_mol_fu=269.7 volume_a3_per_cell=94 pbc="T T T"
P 5.095 4.313 1.595
P 5.095 2.942 3.534
P 6.282 2.256 1.595
P 3.908 2.256 1.595
P 7.642 4.412 3.120
Ag 0.000 0.000 0.000

=====

6.
4
Lattice="-3.383 0.499 -1.411 0.312 -3.210 -1.883 -1.479 -1.841 2.894" Properties=species:S:1:pos:R:3 comment="CoMoRu2 (meta-GGA SCAN, single point on PBEsol structure)" total_magnetization_mub_per_fu=0.002 n_ef_per_ev_atom=0.92 relative_energy_kj_per_mol_fu=0.0 volume_a3_per_cell=52 pbc="T T T"
Mo -1.691 0.249 -0.706
Ru -0.739 -0.921 1.447
Ru 0.156 -1.605 -0.942
Co -2.275 -2.276 -0.200

=====

7.
4
Lattice="-2.907 -1.336 -1.958 -0.295 -3.684 -0.640 -6.016 -2.672 7.161" Properties=species:S:1:pos:R:3 comment="SrZnPb2 (meta-GGA SCAN, single point on PBEsol structure)" total_magnetization_mub_per_fu=0.000 n_ef_per_ev_atom=0.49 volume_a3_per_cell=116 e_tot_ev_per_atom=-46.90 pbc="T T T"
Sr -4.609 -3.846 2.281
Pb -2.100 -1.882 0.809
Pb -7.118 -5.810 3.753
Zn 0.000 0.000 0.000

=====

8.
5
Lattice="-3.841 0.754 -1.530 0.281 -3.476 -2.420 -1.700 -2.314 3.127" Properties=species:S:1:pos:R:3 comment="CrSi2PbC (meta-GGA SCAN, single point on PBEsol structure)" total_magnetization_mub_per_fu=3.437 e_form_raw_ev_per_atom=0.819 n_ef_per_ev_atom=0.56 volume_a3_per_cell=76 pbc="T T T"
Si -0.850 -1.157 1.563
Si 0.141 -1.738 -1.210
C 0.000 0.000 0.000
Pb -2.630 -2.518 -0.412
Cr -1.920 0.377 -0.765